1.
# Ce4PrEr3S8

A relaxed structure of Ce4PrEr3S8 (PBE, Alexandria via LeMat-Bulk).

The structure in extended XYZ format:
```
16
Lattice="3.9649 2.2891 6.5374 -3.9649 2.2891 6.5374 0.0000 -4.5782 6.5374" Properties=species:S:1:pos:R:3 pbc="T T T"
Ce 0.0000 0.0000 0.0000
Ce -1.9824 -1.1446 6.5374
Ce -1.9824 1.1446 13.0749
Ce 0.0000 2.2891 6.5374
Pr 0.0000 0.0000 9.8062
Er -3.9649 0.0000 9.8062
Er -1.9824 1.1446 3.2687
Er 1.9824 1.1446 3.2687
S -2.0427 -1.1793 11.3839
S 0.0000 0.0000 4.8006
S 0.0000 -2.3587 8.2285
S -2.0427 1.1793 8.2285
S 2.0427 -1.1793 11.3839
S 0.0000 2.3587 11.3839
S 0.0000 0.0000 14.8118
S 2.0427 1.1793 8.2285
```

Summary:
* SG: R-3m
* ΔE_f (raw): -32.17 eV per formula unit

---

2.
# Ce3Pr2ErS6

A relaxed structure of Ce3Pr2ErS6 (PBE, Alexandria via LeMat-Bulk).

The structure in extended XYZ format:
```
12
Lattice="3.4892 -6.0447 0.0000 3.4892 6.0447 0.0000 -2.3312 0.0000 6.5792" Properties=species:S:1:pos:R:3 pbc="T T T"
Ce 0.0000 0.0000 0.0000
Ce 3.4892 2.0659 0.0000
Ce 3.4892 -2.0659 0.0000
Pr 2.3236 4.0345 3.2896
Pr 2.3236 -4.0345 3.2896
Er 2.3236 0.0000 3.2896
S 1.2057 1.9424 1.6663
S 0.0834 0.0000 4.9429
S 1.2057 -1.9424 1.6663
S 3.4415 1.9424 4.9128
S 4.5638 0.0000 1.6363
S 3.4415 -1.9424 4.9128
```

Summary:
* SG: C2/m
* ΔE_f (raw): -24.25 eV per formula unit

---

3.
# CePr2Er3S6

A relaxed structure of CePr2Er3S6 (PBE, Alexandria via LeMat-Bulk).

The structure in extended XYZ format:
```
12
Lattice="8.7251 -1.9605 0.0000 8.7251 1.9605 0.0000 -2.0931 0.0000 7.7887" Properties=species:S:1:pos:R:3 pbc="T T T"
Ce 0.0000 0.0000 0.0000
Pr 4.4307 0.0000 5.2038
Pr 10.9265 0.0000 2.5848
Er -1.0466 0.0000 3.8943
Er 5.4612 0.0000 1.2828
Er 9.8960 0.0000 6.5059
S 1.5786 0.0000 4.6468
S 2.8248 0.0000 0.5495
S 8.0921 0.0000 2.0165
S 7.2650 0.0000 5.7722
S 12.5324 0.0000 7.2392
S 13.7786 0.0000 3.1418
```

Summary:
* SG: C2/m
* ΔE_f (raw): -24.02 eV per formula unit

---

| no. | total DFT energy (no corrections) (eV per formula unit) |
| --- | --- |
| 1 | -107.4 |
| 2 | -80.9 |
| 3 | -78.0 |